A relaxed structure of Ca3WO, computed with PBE with a Hubbard U.

**E_tot**: -2.611 eV per atom
**Offset from the most stable computed form**: 1690.8 meV per atom

Lattice parameters (Å, degrees): 5.9893 5.9893 5.9893 90.00 90.00 90.00
Closest atoms and distances in Å follow each position.
Space group Pm-3m (No. 221)
Unique sites:
Ca  0.0000  0.0000  0.5000 x3  2 W 2.99
W  0.0000  0.0000  0.0000 x1  6 Ca 2.99
O  0.5000  0.5000  0.5000 x1  12 Ca 4.24